1.
Na2Mg2Ga (PBE-GGA, relaxed); polymorph energy (0 for the lowest one) = 0.877 eV per formula unit; space-group type = I4/mmm (139); formation energy from the elements = 0.24 eV/atom
1.0
4.1054 0.0000 0.0000
0.0000 4.1054 0.0000
2.0527 2.0527 8.5411
Na Mg Ga
2 2 1
Direct
0.4088 0.4088 0.1824
0.5912 0.5912 0.8176
0.7500 0.2500 0.5000
0.2500 0.7500 0.5000
0.0000 0.0000 0.0000

2.
GaSnO2 (PBE-GGA, relaxed); energy relative to the elements, uncorrected = -0.432 eV/atom; space-group type = Fm-3m (225)
1.0
0.0000 3.0056 3.0056
3.0056 0.0000 3.0056
3.0056 3.0056 0.0000
O Sn Ga
2 1 1
Direct
0.2500 0.2500 0.2500
0.7500 0.7500 0.7500
0.5000 0.5000 0.5000
0.0000 0.0000 0.0000

3.
LiRh2N3 (PBE-GGA, relaxed); energy relative to the elements, uncorrected = 0.362 eV/atom; space-group type = Cmc2_1 (36)
1.0
2.7830 -4.9695 0.0000
2.7830 4.9695 0.0000
0.0000 0.0000 5.3894
Li Rh N
2 4 6
Direct
0.6772 0.6772 0.9952
0.3228 0.3228 0.4952
0.0134 0.3415 0.9915
0.3415 0.0134 0.9915
0.9866 0.6585 0.4915
0.6585 0.9866 0.4915
0.9768 0.3315 0.3575
0.3315 0.9768 0.3575
0.0232 0.6685 0.8575
0.6685 0.0232 0.8575
0.6839 0.6839 0.3949
0.3161 0.3161 0.8949

4.
MnPSeSN (PBE-GGA, relaxed); polymorph energy (0 for the lowest one) = 0.996 eV per formula unit; energy relative to the elements, uncorrected = 0.080 eV/atom; space-group type = P1 (1)
1.0
3.8159 0.0387 -0.0335
1.1587 4.2469 -0.0640
1.1605 0.6562 5.8246
Mn P Se S N
1 1 1 1 1
Direct
0.5092 0.8029 0.8618
0.6615 0.2347 0.9728
0.3297 0.9512 0.2791
0.6983 0.6251 0.5047
0.9804 0.9395 0.8686

5.
ThScHg2 (PBE-GGA, relaxed); polymorph energy (0 for the lowest one) = 0.000 eV per formula unit; space-group type = P4/mmm (123); formation energy from the elements = -0.33 eV/atom
1.0
-1.6919 3.0111 0.7810
-2.9989 -1.8151 0.5011
1.8366 -0.9378 7.5945
Sc Hg Th
1 2 1
Direct
0.5000 0.5000 0.0000
0.0000 0.0000 0.7861
0.0000 0.0000 0.2139
0.5000 0.5000 0.5000

6.
Y2Ho6Tm3 (PBE-GGA, relaxed); polymorph energy (0 for the lowest one) = 3.001 eV per formula unit; space-group type = I4/mmm (139); formation energy from the elements = 0.30 eV/atom
1.0
-1.2309 -3.4397 2.9211
-2.3099 -2.1208 -3.4707
15.4831 -5.5529 -3.7594
Y Ho Tm
2 6 3
Direct
0.4537 0.4537 0.9075
0.5463 0.5463 0.0925
0.1226 0.6226 0.2452
0.6226 0.1226 0.2452
0.8774 0.3774 0.7548
0.3774 0.8774 0.7548
0.6973 0.6973 0.3946
0.3027 0.3027 0.6054
0.0000 0.0000 0.0000
0.8001 0.8001 0.6002
0.1999 0.1999 0.3998

7.
Be2CoI (PBE-GGA, relaxed); polymorph energy (0 for the lowest one) = 0.000 eV per formula unit; energy relative to the elements, uncorrected = 0.855 eV/atom; space-group type = I-42d (122)
1.0
5.3965 0.0000 0.0000
0.0000 5.3965 0.0000
2.6983 2.6983 5.1670
I Be Co
2 4 2
Direct
0.0000 0.0000 0.0000
0.7500 0.2500 0.5000
0.5541 0.1250 0.2500
0.1959 0.6250 0.2500
0.3750 0.4459 0.7500
0.8750 0.8041 0.7500
0.5000 0.5000 0.0000
0.2500 0.7500 0.5000

8.
Ac4HgHIr2 (PBE-GGA, relaxed); calculated total energy = -5.328 eV/atom; space-group type = Cmcm (63)
1.0
-0.4890 3.9344 -1.8925
-1.4538 -5.1856 -5.3055
-14.4839 0.0741 3.8965
Ac Hg H Ir
8 2 2 4
Direct
0.2640 0.5280 0.1122
0.7360 0.4720 0.6122
0.7360 0.4720 0.8878
0.2640 0.5280 0.3878
0.0000 0.0000 0.5000
0.0000 0.0000 0.0000
0.4274 0.8548 0.7500
0.5726 0.1452 0.2500
0.1121 0.2242 0.7500
0.8879 0.7758 0.2500
0.8425 0.6850 0.7500
0.1575 0.3150 0.2500
0.3689 0.7379 0.5619
0.6311 0.2621 0.0619
0.6311 0.2621 0.4381
0.3689 0.7379 0.9381

9.
Tb3DyCd6 (PBE-GGA, relaxed); space-group type = P2_1/m (11); formation energy from the elements = -0.29 eV/atom
1.0
5.1606 0.0000 0.0000
0.0000 8.8298 -2.6387
0.0000 0.2362 11.0535
Tb Dy Cd
6 2 12
Direct
0.2500 0.5276 0.3930
0.7500 0.4724 0.6070
0.2500 0.3503 0.7911
0.7500 0.6497 0.2089
0.2500 0.7609 0.0021
0.7500 0.2391 0.9979
0.2500 0.9445 0.6066
0.7500 0.0555 0.3934
0.2500 0.4501 0.0936
0.7500 0.5499 0.9064
0.2500 0.1442 0.1925
0.7500 0.8558 0.8075
0.2500 0.6607 0.7076
0.7500 0.3393 0.2924
0.2500 0.2387 0.4954
0.7500 0.7613 0.5046
0.2500 0.8519 0.3068
0.7500 0.1481 0.6932
0.2500 0.0511 0.8977
0.7500 0.9489 0.1023